1.
The following is a PBE-GGA calculation of an optimized crystal structure of PaCoPSe, from the Alexandria database.

Computed properties:
Energy relative to the elements, uncorrected ... -0.97 eV/atom
Fermi-level density of states ... 2.7 states/eV/f.u.

Cell lengths 4.012, 4.012, 8.650 Å; angles 90.00, 90.00, 90.00 degrees
Space group P4/nmm (No. 129, origin choice 2)
Asymmetric unit:
Pa (0.250, 0.250, 0.248) [2 per cell]
Co (0.250, 0.750, 0.000) [2 per cell]
P (0.250, 0.250, 0.858) [2 per cell]
Se (0.250, 0.750, 0.500) [2 per cell]



2.
The following is a PBE-GGA calculation of an optimized crystal structure of Pa3Co9Si2P, from the Alexandria database.

Computed properties:
Energy relative to the elements, uncorrected ... -0.39 eV/atom
Fermi-level density of states ... 10.1 states/eV/f.u.

Cell lengths 5.1591, 5.1591, 9.8483 Å; angles 90.00, 90.00, 120.00 degrees
Space group P-3m1 (No. 164)
Asymmetric unit:
Pa (0.0000, 0.0000, 0.0000) [1 per cell]
Pa (0.3333, 0.6667, 0.7008) [2 per cell]
Co (0.0000, 0.5000, 0.0000) [3 per cell]
Co (0.1702, 0.3404, 0.3489) [6 per cell]
Si (0.3333, 0.6667, 0.1722) [2 per cell]
P (0.0000, 0.0000, 0.5000) [1 per cell]



3.
The following is a PBE-GGA calculation of an optimized crystal structure of PaCo5SiP2, from the Alexandria database.

Computed properties:
Energy relative to the elements, uncorrected ... -0.64 eV/atom
Fermi-level density of states ... 8.5 states/eV/f.u.

Cell lengths 3.810, 3.810, 7.738 Å; angles 90.00, 90.00, 90.00 degrees
Space group P4/mmm (No. 123)
Asymmetric unit:
Pa (0.000, 0.000, 0.000) [1 per cell]
Co (0.000, 0.500, 0.298) [4 per cell]
Co (0.500, 0.500, 0.500) [1 per cell]
Si (0.000, 0.000, 0.500) [1 per cell]
P (0.500, 0.500, 0.154) [2 per cell]



4.
The following is a PBE-GGA calculation of an optimized crystal structure of Pa2Co4SiP3, from the Alexandria database.

Computed properties:
Energy relative to the elements, uncorrected ... -0.99 eV/atom
Fermi-level density of states ... 2.6 states/eV/f.u.

Cell lengths 3.931, 3.931, 9.128 Å; angles 90.00, 90.00, 90.00 degrees
Space group P-4m2 (No. 115)
Asymmetric unit:
Pa (0.000, 0.500, 0.248) [2 per cell]
Co (0.000, 0.000, 0.000) [1 per cell]
Co (0.000, 0.500, 0.623) [2 per cell]
Co (0.500, 0.500, 0.000) [1 per cell]
Si (0.000, 0.000, 0.500) [1 per cell]
P (0.000, 0.500, 0.868) [2 per cell]
P (0.500, 0.500, 0.500) [1 per cell]



5.
The following is a PBE-GGA calculation of an optimized crystal structure of Pa3Co9SiP2, from the Alexandria database.

Computed properties:
Energy relative to the elements, uncorrected ... -0.42 eV/atom
Fermi-level density of states ... 8.7 states/eV/f.u.

Cell lengths 5.1813, 5.1813, 9.6446 Å; angles 90.00, 90.00, 120.00 degrees
Space group P-3m1 (No. 164)
Asymmetric unit:
Pa (0.0000, 0.0000, 0.0000) [1 per cell]
Pa (0.3333, 0.6667, 0.6324) [2 per cell]
Co (0.0000, 0.5000, 0.0000) [3 per cell]
Co (0.1644, 0.3287, 0.3197) [6 per cell]
Si (0.0000, 0.0000, 0.5000) [1 per cell]
P (0.3333, 0.6667, 0.1617) [2 per cell]



6.
The following is a PBE-GGA calculation of an optimized crystal structure of PaTaCo5P2, from the Alexandria database.

Computed properties:
Energy ... -7.875 eV per atom
Fermi-level density of states ... 6.5 states/eV/f.u.

Cell lengths 3.681, 3.681, 9.951 Å; angles 90.00, 90.00, 90.00 degrees
Space group P4/mmm (No. 123)
Asymmetric unit:
Pa (0.000, 0.000, 0.000) [1 per cell]
Ta (0.000, 0.000, 0.500) [1 per cell]
Co (0.000, 0.500, 0.328) [4 per cell]
Co (0.500, 0.500, 0.000) [1 per cell]
P (0.500, 0.500, 0.216) [2 per cell]



7.
The following is a PBE-GGA calculation of an optimized crystal structure of Pa2TaCo4P3, from the Alexandria database.

Computed properties:
Energy ... -8.393 eV per atom
Fermi-level density of states ... 5.1 states/eV/f.u.

Cell lengths 3.879, 3.879, 9.800 Å; angles 90.00, 90.00, 90.00 degrees
Space group P-4m2 (No. 115)
Asymmetric unit:
Pa (0.000, 0.500, 0.235) [2 per cell]
Ta (0.000, 0.000, 0.500) [1 per cell]
Co (0.000, 0.000, 0.000) [1 per cell]
Co (0.000, 0.500, 0.647) [2 per cell]
Co (0.500, 0.500, 0.000) [1 per cell]
P (0.000, 0.500, 0.875) [2 per cell]
P (0.500, 0.500, 0.500) [1 per cell]



8.
The following is a PBE-GGA calculation of an optimized crystal structure of TbPaCo2P2, from the Alexandria database.

Computed properties:
Energy ... -7.662 eV per atom
Fermi-level density of states ... 3.4 states/eV/f.u.

Cell lengths 3.8789, 3.8789, 7.6899 Å; angles 90.00, 90.00, 120.00 degrees
Space group P-3m1 (No. 164)
Asymmetric unit:
Tb (0.0000, 0.0000, 0.0000) [1 per cell]
Pa (0.0000, 0.0000, 0.5000) [1 per cell]
Co (0.3333, 0.6667, 0.2820) [2 per cell]
P (0.3333, 0.6667, 0.7614) [2 per cell]